Record 1
KNa9Hg2 | PBE-GGA | relaxed

## Properties
energy relative to the elements = -0.09 eV per atom
relative energy among the computed polymorphs = 0.00 eV per formula unit
Fermi-level density of states = 11.6 states/eV/cell
total energy = -0.0896 Ry per atom
spin magnetization = 0.0 μB/cell

Cell lengths 10.7455, 10.7455, 10.7455 Å; angles 99.65, 99.65, 131.66 degrees
Sites, in units of the cell vectors:
K  0.3750  0.6250  0.7500
K  0.6250  0.3750  0.2500
Na  0.1250  0.8750  0.2500
Na  0.1348  0.5674  0.3230
Na  0.1348  0.8118  0.5674
Na  0.1882  0.2556  0.3230
Na  0.1882  0.8652  0.9326
Na  0.2556  0.1882  0.8230
Na  0.2556  0.4326  0.0674
Na  0.4326  0.2556  0.5674
Na  0.4326  0.8652  0.1770
Na  0.5674  0.1348  0.8230
Na  0.5674  0.7444  0.4326
Na  0.7444  0.5674  0.9326
Na  0.7444  0.8118  0.1770
Na  0.8118  0.1348  0.0674
Na  0.8118  0.7444  0.6770
Na  0.8652  0.1882  0.4326
Na  0.8652  0.4326  0.6770
Na  0.8750  0.1250  0.7500
Hg  0.0000  0.0000  0.0000
Hg  0.0000  0.0000  0.5000
Hg  0.0000  0.5000  0.0000
Hg  0.5000  0.0000  0.5000

=====

Record 2
K11NaHg5 | PBE-GGA | relaxed

## Properties
energy relative to the elements = -0.12 eV per atom
Fermi-level density of states = 10.1 states/eV/cell
total energy = -0.0730 Ry per atom
spin magnetization = 0.0 μB/cell

Cell lengths 10.6191, 10.6191, 7.6842 Å; angles 96.69, 96.69, 99.31 degrees
Sites, in units of the cell vectors:
K  0.0000  0.0000  0.0000
K  0.1302  0.6626  0.1993
K  0.2054  0.4668  0.6516
K  0.3103  0.3103  0.1329
K  0.3374  0.8698  0.8007
K  0.4668  0.2054  0.6516
K  0.5332  0.7946  0.3484
K  0.6626  0.1302  0.1993
K  0.6897  0.6897  0.8671
K  0.7946  0.5332  0.3484
K  0.8698  0.3374  0.8007
Na  0.0000  0.0000  0.5000
Hg  0.0078  0.7068  0.7208
Hg  0.2932  0.9922  0.2792
Hg  0.5000  0.5000  0.5000
Hg  0.7068  0.0078  0.7208
Hg  0.9922  0.2932  0.2792

=====

Record 3
K5Na12Hg2 | PBE-GGA | relaxed

## Properties
energy relative to the elements = -0.02 eV per atom
Fermi-level density of states = 9.5 states/eV/cell
total energy = -0.0865 Ry per atom
spin magnetization = 0.0 μB/cell

Cell lengths 10.1077, 10.1077, 8.6261 Å; angles 90.70, 90.70, 67.02 degrees
Sites, in units of the cell vectors:
K  0.0000  0.0000  0.0000
K  0.2638  0.2638  0.9664
K  0.3192  0.3192  0.4778
K  0.6808  0.6808  0.5222
K  0.7362  0.7362  0.0336
Na  0.0769  0.6517  0.7383
Na  0.0904  0.0904  0.5628
Na  0.1401  0.6322  0.1961
Na  0.3483  0.9231  0.2617
Na  0.3678  0.8599  0.8039
Na  0.4854  0.4854  0.7800
Na  0.5146  0.5146  0.2200
Na  0.6322  0.1401  0.1961
Na  0.6517  0.0769  0.7383
Na  0.8599  0.3678  0.8039
Na  0.9096  0.9096  0.4372
Na  0.9231  0.3483  0.2617
Hg  0.2778  0.7222  0.5000
Hg  0.7222  0.2778  0.5000

=====

Record 4
KNa9Hg2 | PBE-GGA | relaxed

## Properties
energy relative to the elements = -0.08 eV per atom
relative energy among the computed polymorphs = 0.07 eV per formula unit
Fermi-level density of states = 5.4 states/eV/cell
total energy = -0.0891 Ry per atom
spin magnetization = 0.0 μB/cell

Cell lengths 10.9505, 10.9505, 4.2572 Å; angles 90.00, 90.00, 120.00 degrees
Sites, in units of the cell vectors:
K  0.0000  0.0000  0.0000
Na  0.0000  0.5000  0.0000
Na  0.2054  0.4109  0.5000
Na  0.2054  0.7946  0.5000
Na  0.4109  0.2054  0.5000
Na  0.5000  0.0000  0.0000
Na  0.5000  0.5000  0.0000
Na  0.5891  0.7946  0.5000
Na  0.7946  0.2054  0.5000
Na  0.7946  0.5891  0.5000
Hg  0.3333  0.6667  0.0000
Hg  0.6667  0.3333  0.0000

=====

Record 5
KNaHg10 | PBE-GGA | relaxed

## Properties
energy relative to the elements = -0.11 eV per atom
Fermi-level density of states = 3.6 states/eV/cell
total energy = -0.0413 Ry per atom
spin magnetization = 0.0 μB/cell

Cell lengths 5.6397, 6.1305, 10.6484 Å; angles 90.00, 90.00, 90.00 degrees
Sites, in units of the cell vectors:
K  0.0000  0.0000  0.0000
Na  0.0000  0.5000  0.5000
Hg  0.0000  0.0000  0.3453
Hg  0.0000  0.0000  0.6547
Hg  0.0000  0.5000  0.1873
Hg  0.0000  0.5000  0.8127
Hg  0.5000  0.0000  0.5000
Hg  0.5000  0.2497  0.2496
Hg  0.5000  0.2497  0.7504
Hg  0.5000  0.5000  0.0000
Hg  0.5000  0.7503  0.2496
Hg  0.5000  0.7503  0.7504

=====

Record 6
K3Na3Hg2 | PBE-GGA | relaxed

## Properties
energy relative to the elements = -0.14 eV per atom
relative energy among the computed polymorphs = 0.00 eV per formula unit
Fermi-level density of states = 15.3 states/eV/cell
total energy = -0.0822 Ry per atom
spin magnetization = 0.0 μB/cell

Cell lengths 9.6661, 19.5598, 6.9383 Å; angles 90.00, 90.00, 90.00 degrees
Sites, in units of the cell vectors:
K  0.0304  0.1077  0.1037
K  0.0304  0.3923  0.1037
K  0.1600  0.2500  0.6515
K  0.3400  0.7500  0.1515
K  0.4696  0.6077  0.6037
K  0.4696  0.8923  0.6037
K  0.5304  0.1077  0.3963
K  0.5304  0.3923  0.3963
K  0.6600  0.2500  0.8485
K  0.8400  0.7500  0.3485
K  0.9696  0.6077  0.8963
K  0.9696  0.8923  0.8963
Na  0.1715  0.0345  0.5951
Na  0.1715  0.4655  0.5951
Na  0.1723  0.7500  0.6426
Na  0.3277  0.2500  0.1426
Na  0.3285  0.5345  0.0951
Na  0.3285  0.9655  0.0951
Na  0.6715  0.0345  0.9049
Na  0.6715  0.4655  0.9049
Na  0.6723  0.7500  0.8574
Na  0.8277  0.2500  0.3574
Na  0.8285  0.5345  0.4049
Na  0.8285  0.9655  0.4049
Hg  0.1216  0.6143  0.3896
Hg  0.1216  0.8857  0.3896
Hg  0.3784  0.1143  0.8896
Hg  0.3784  0.3857  0.8896
Hg  0.6216  0.6143  0.1104
Hg  0.6216  0.8857  0.1104
Hg  0.8784  0.1143  0.6104
Hg  0.8784  0.3857  0.6104

=====

Record 7
KNa6Hg2 | PBE-GGA | relaxed

## Properties
energy relative to the elements = -0.10 eV per atom
relative energy among the computed polymorphs = 0.09 eV per formula unit
Fermi-level density of states = 4.9 states/eV/cell
total energy = -0.0861 Ry per atom
spin magnetization = 0.0 μB/cell

Cell lengths 5.0086, 5.0086, 12.6522 Å; angles 90.00, 90.00, 90.00 degrees
Sites, in units of the cell vectors:
K  0.0000  0.0000  0.0000
Na  0.0000  0.0000  0.5000
Na  0.0000  0.5000  0.2775
Na  0.0000  0.5000  0.7225
Na  0.5000  0.0000  0.2775
Na  0.5000  0.0000  0.7225
Na  0.5000  0.5000  0.5000
Hg  0.5000  0.5000  0.1171
Hg  0.5000  0.5000  0.8829

=====

Record 8
K5Na5Hg | PBE-GGA | relaxed

## Properties
energy relative to the elements = 0.01 eV per atom
Fermi-level density of states = 6.6 states/eV/cell
total energy = -0.0822 Ry per atom
spin magnetization = 0.0 μB/cell

Cell lengths 11.2463, 11.2463, 11.2463 Å; angles 145.46, 135.44, 57.57 degrees
Sites, in units of the cell vectors:
K  0.0000  0.0000  0.0000
K  0.1441  0.6441  0.5000
K  0.2929  0.2929  0.0000
K  0.7071  0.7071  0.0000
K  0.8559  0.3559  0.5000
Na  0.1642  0.8630  0.3012
Na  0.4382  0.1370  0.3012
Na  0.5000  0.5000  0.0000
Na  0.5618  0.8630  0.6988
Na  0.8358  0.1370  0.6988
Hg  0.5000  0.0000  0.5000

=====

Record 9
KNaHg2 | PBE-GGA | relaxed

## Properties
energy relative to the elements = -0.21 eV per atom
relative energy among the computed polymorphs = 0.15 eV per formula unit
Fermi-level density of states = 9.9 states/eV/cell
total energy = -0.0708 Ry per atom
spin magnetization = 0.0 μB/cell

Cell lengths 8.0047, 8.0047, 8.0047 Å; angles 90.00, 90.00, 90.00 degrees
Sites, in units of the cell vectors:
K  0.0000  0.0000  0.0000
K  0.0000  0.5000  0.5000
K  0.5000  0.0000  0.5000
K  0.5000  0.5000  0.0000
Na  0.0000  0.0000  0.5000
Na  0.0000  0.5000  0.0000
Na  0.5000  0.0000  0.0000
Na  0.5000  0.5000  0.5000
Hg  0.2500  0.2500  0.2500
Hg  0.2500  0.2500  0.7500
Hg  0.2500  0.7500  0.2500
Hg  0.2500  0.7500  0.7500
Hg  0.7500  0.2500  0.2500
Hg  0.7500  0.2500  0.7500
Hg  0.7500  0.7500  0.2500
Hg  0.7500  0.7500  0.7500

=====

Record 10
KNaHg4 | PBE-GGA | relaxed

## Properties
energy relative to the elements = -0.25 eV per atom
relative energy among the computed polymorphs = 0.00 eV per formula unit
Fermi-level density of states = 2.7 states/eV/cell
total energy = -0.0631 Ry per atom
spin magnetization = 0.0 μB/cell

Cell lengths 5.2275, 5.2275, 7.5483 Å; angles 90.00, 90.00, 120.00 degrees
Sites, in units of the cell vectors:
K  0.0000  0.0000  0.0000
Na  0.0000  0.0000  0.5000
Hg  0.3333  0.6667  0.2871
Hg  0.3333  0.6667  0.7129
Hg  0.6667  0.3333  0.2871
Hg  0.6667  0.3333  0.7129

=====

Record 11
K3Na2Hg | PBE-GGA | relaxed

## Properties
energy relative to the elements = -0.10 eV per atom
relative energy among the computed polymorphs = 0.00 eV per formula unit
Fermi-level density of states = 6.3 states/eV/cell
total energy = -0.0836 Ry per atom
spin magnetization = 0.0 μB/cell

Cell lengths 9.8853, 9.8853, 7.3369 Å; angles 90.36, 90.36, 53.89 degrees
Sites, in units of the cell vectors:
K  0.0487  0.3453  0.7488
K  0.1468  0.8532  0.7500
K  0.3453  0.0487  0.2488
K  0.6547  0.9513  0.7512
K  0.8532  0.1468  0.2500
K  0.9513  0.6547  0.2512
Na  0.3987  0.4028  0.9962
Na  0.4028  0.3987  0.4962
Na  0.5972  0.6013  0.5038
Na  0.6013  0.5972  0.0038
Hg  0.2724  0.7276  0.2500
Hg  0.7276  0.2724  0.7500

=====

Record 12
K3Na6Hg5 | PBE-GGA | relaxed

## Properties
energy relative to the elements = -0.18 eV per atom
Fermi-level density of states = 11.1 states/eV/cell
total energy = -0.0800 Ry per atom
spin magnetization = 0.0 μB/cell

Cell lengths 5.2693, 15.3899, 11.6286 Å; angles 90.00, 90.00, 90.00 degrees
Sites, in units of the cell vectors:
K  0.2500  0.0463  0.2502
K  0.2500  0.4537  0.2502
K  0.2500  0.7500  0.2331
K  0.7500  0.2500  0.7669
K  0.7500  0.5463  0.7498
K  0.7500  0.9537  0.7498
Na  0.2500  0.0709  0.9162
Na  0.2500  0.2500  0.0954
Na  0.2500  0.2500  0.4525
Na  0.2500  0.4291  0.9162
Na  0.2500  0.5962  0.5224
Na  0.2500  0.9038  0.5224
Na  0.7500  0.0962  0.4776
Na  0.7500  0.4038  0.4776
Na  0.7500  0.5709  0.0838
Na  0.7500  0.7500  0.5475
Na  0.7500  0.7500  0.9046
Na  0.7500  0.9291  0.0838
Hg  0.2500  0.0993  0.6426
Hg  0.2500  0.4007  0.6426
Hg  0.2500  0.6363  0.9512
Hg  0.2500  0.7500  0.7221
Hg  0.2500  0.8637  0.9512
Hg  0.7500  0.1363  0.0488
Hg  0.7500  0.2500  0.2779
Hg  0.7500  0.3637  0.0488
Hg  0.7500  0.5993  0.3574
Hg  0.7500  0.9007  0.3574

=====

Look up the spin magnetization of the first one.
0.0 μB/cell

=====

Look up the total energy of the ninth one.
-0.0708 Ry per atom

=====

Among the records above, which one has the lowest energy relative to the elements?
KNaHg4

=====

Which of these has the highest total energy?
KNaHg10